A relaxed Pm8Sm3Th2 crystal, computed with PBE.

## Properties
Its formation enthalpy at 0 K is 0.15 eV per atom. The calculation puts the size of the total moment at 0.0000 μB/atom.

Unit cell a=11.7925 b=7.9320 c=18.7695 alpha=95.89 beta=73.95 gamma=146.60
With the nearest neighbours (Å) after each atom.
Element x y z (fractional)
Pm 0.5097 0.6767 0.0691  5 Pm 3.33-3.70, 2 Th 3.55-3.58, 1 Sm 3.67
Pm 0.7705 0.0269 0.3874  1 Sm 3.15, 2 Pm 3.28-3.33, 1 Th 3.53
Pm 0.8618 0.7601 0.7555  6 Pm 3.33-3.72, 1 Th 3.44, 2 Sm 3.53-3.57
Pm 0.9758 0.6403 0.8925  2 Sm 3.17-3.47, 1 Pm 3.28, 1 Th 3.48
Pm 0.5709 0.0381 0.2637  2 Sm 3.53-3.55, 6 Pm 3.59-3.95, 2 Th 3.82-3.88
Pm 0.7387 0.5766 0.3934  1 Sm 3.18, 2 Pm 3.28-3.47, 1 Th 3.49
Pm 0.1496 0.8183 0.4308  2 Sm 3.33-3.67, 4 Pm 3.54-3.71, 2 Th 3.55-3.58
Pm 0.9557 0.2018 0.8883  2 Sm 3.15-3.34, 1 Pm 3.28, 1 Th 3.53
Pm 0.0443 0.7982 0.1117  2 Sm 3.15-3.34, 1 Pm 3.28, 1 Th 3.53
Pm 0.8504 0.1817 0.5692  2 Sm 3.33-3.67, 4 Pm 3.54-3.71, 2 Th 3.55-3.58
Pm 0.1382 0.2399 0.2445  6 Pm 3.33-3.72, 1 Th 3.44, 2 Sm 3.53-3.57
Pm 0.4291 0.9619 0.7363  2 Sm 3.53-3.55, 6 Pm 3.59-3.95, 2 Th 3.82-3.88
Pm 0.0242 0.3597 0.1075  2 Sm 3.17-3.47, 1 Pm 3.28, 1 Th 3.48
Pm 0.2613 0.4234 0.6066  1 Sm 3.18, 2 Pm 3.28-3.47, 1 Th 3.49
Pm 0.2295 0.9731 0.6126  1 Sm 3.15, 2 Pm 3.28-3.33, 1 Th 3.53
Pm 0.4902 0.3232 0.9309  5 Pm 3.33-3.70, 2 Th 3.55-3.58, 1 Sm 3.67
Sm 0.5974 0.5605 0.2365  6 Pm 3.53-3.81, 1 Sm 3.57, 2 Th 3.81-3.88
Sm 0.5000 0.0000 0.5000  4 Pm 3.15-3.18
Sm 0.8742 0.2719 0.7446  7 Pm 3.33-3.73, 1 Th 3.44, 1 Sm 3.57
Sm 0.1258 0.7281 0.2554  7 Pm 3.33-3.73, 1 Th 3.44, 1 Sm 3.57
Sm 0.0000 0.0000 0.0000  4 Pm 3.15-3.17
Sm 0.4026 0.4395 0.7635  6 Pm 3.53-3.81, 1 Sm 3.57, 2 Th 3.81-3.88
Th 0.5392 0.1651 0.0804  3 Sm 3.44-3.81, 6 Pm 3.48-3.67, 1 Th 3.56
Th 0.7980 0.6706 0.5804  8 Pm 3.44-3.82, 1 Th 3.58, 1 Sm 3.60
Th 0.2020 0.3294 0.4196  8 Pm 3.44-3.82, 1 Th 3.58, 1 Sm 3.60
Th 0.4608 0.8349 0.9196  3 Sm 3.44-3.81, 6 Pm 3.48-3.67, 1 Th 3.56

---

A relaxed PmSm8Th4 crystal, computed with PBE.

## Properties
Its formation enthalpy at 0 K is 0.57 eV per atom. The calculation puts the size of the total moment at 0.0001 μB/atom.

Unit cell a=11.2492 b=11.2492 c=7.8889 alpha=90.00 beta=135.48 gamma=120.00
With the nearest neighbours (Å) after each atom.
Element x y z (fractional)
Pm 0.0000 0.5000 0.5000  8 Sm 3.52-3.58
Sm 0.5234 0.7617 0.2851  4 Th 3.20-3.49, 1 Pm 3.52
Sm 0.4766 0.2383 0.7149  4 Th 3.20-3.49, 1 Pm 3.52
Sm 0.4702 0.2351 0.2231  4 Th 3.29-3.48, 1 Pm 3.58
Sm 0.0120 0.2470 0.7769  4 Th 3.29-3.48, 1 Pm 3.58
Sm 0.5298 0.7649 0.7769  4 Th 3.29-3.48, 1 Pm 3.58
Sm 0.0120 0.7649 0.7769  4 Th 3.29-3.48, 1 Pm 3.58
Sm 0.9880 0.2351 0.2231  4 Th 3.29-3.48, 1 Pm 3.58
Sm 0.9880 0.7530 0.2231  4 Th 3.29-3.48, 1 Pm 3.58
Th 0.0000 0.0000 0.0000  8 Sm 3.20-3.29
Th 0.0000 0.5000 0.0000  8 Sm 3.45-3.49
Th 0.5000 0.5000 0.0000  8 Sm 3.45-3.49
Th 0.5000 0.0000 0.0000  8 Sm 3.45-3.49

---

A relaxed PmSm4Th crystal, computed with PBE.

## Properties
As for the offset from the most stable computed form: 0.0000 eV/atom. Its formation enthalpy at 0 K is 0.03 eV per atom. The calculation puts the size of the total moment at 0.0000 μB/atom.

Unit cell a=3.6088 b=9.6116 c=12.0278 alpha=148.68 beta=90.23 gamma=100.77
With the nearest neighbours (Å) after each atom.
Element x y z (fractional)
Pm 0.5000 0.0000 0.5000  2 Pm 3.61, 10 Sm 3.64-3.66
Sm 0.8284 0.6548 0.4930  7 Sm 3.56-3.66, 3 Th 3.57-3.63, 2 Pm 3.66
Sm 0.1715 0.3451 0.5070  7 Sm 3.56-3.66, 3 Th 3.57-3.64, 2 Pm 3.66
Sm 0.3371 0.6741 0.0011  2 Th 3.58, 7 Sm 3.58-3.73, 3 Pm 3.64-3.66
Sm 0.6629 0.3259 0.9989  2 Th 3.58, 7 Sm 3.58-3.73, 3 Pm 3.64-3.66
Th 0.0000 0.0000 0.0000  10 Sm 3.57-3.64, 2 Th 3.61

---

A relaxed Pm6Sm3Th2 crystal, computed with PBE.

## Properties
Its formation enthalpy at 0 K is 0.02 eV per atom. The calculation puts the size of the total moment at 0.0000 μB/atom.

Unit cell a=3.6295 b=3.6295 c=32.7151 alpha=86.82 beta=86.82 gamma=60.00
With the nearest neighbours (Å) after each atom.
Element x y z (fractional)
Pm 0.9081 0.9081 0.2758  3 Th 3.56, 6 Pm 3.63, 3 Sm 3.71
Pm 0.0919 0.0919 0.7242  3 Th 3.56, 6 Pm 3.63, 3 Sm 3.71
Pm 0.8172 0.8172 0.5484  3 Th 3.54, 9 Pm 3.63-3.79
Pm 0.1828 0.1828 0.4516  3 Th 3.54, 9 Pm 3.63-3.79
Pm 0.6362 0.6362 0.0914  6 Sm 3.62-3.65, 6 Pm 3.63
Pm 0.3638 0.3638 0.9086  6 Sm 3.62-3.65, 6 Pm 3.63
Sm 0.0000 0.0000 0.0000  6 Sm 3.63, 6 Pm 3.65
Sm 0.7273 0.7273 0.8181  6 Pm 3.62-3.71, 6 Sm 3.63
Sm 0.2727 0.2727 0.1819  6 Pm 3.62-3.71, 6 Sm 3.63
Th 0.5453 0.5453 0.3641  6 Pm 3.54-3.56, 6 Th 3.63
Th 0.4547 0.4547 0.6359  6 Pm 3.54-3.56, 6 Th 3.63

---

A relaxed Pm6SmTh crystal, computed with PBE.

## Properties
As for the offset from the most stable computed form: 0.0000 eV/atom. Its formation enthalpy at 0 K is 0.03 eV per atom. The calculation puts the size of the total moment at 0.0000 μB/atom.

Unit cell a=5.1406 b=5.1406 c=10.2833 alpha=90.00 beta=90.00 gamma=90.00
With the nearest neighbours (Å) after each atom.
Element x y z (fractional)
Pm 0.5000 0.5000 0.0000  4 Sm 3.63, 8 Pm 3.66
Pm 0.5000 0.5000 0.5000  8 Pm 3.61, 4 Th 3.63
Pm 0.5000 0.0000 0.2538  8 Pm 3.61-3.66, 2 Th 3.61, 2 Sm 3.66
Pm 0.5000 0.0000 0.7462  8 Pm 3.61-3.66, 2 Th 3.61, 2 Sm 3.66
Pm 0.0000 0.5000 0.2538  2 Th 3.61, 8 Pm 3.61-3.66, 2 Sm 3.66
Pm 0.0000 0.5000 0.7462  2 Th 3.61, 8 Pm 3.61-3.66, 2 Sm 3.66
Sm 0.0000 0.0000 0.0000  12 Pm 3.63-3.66
Th 0.0000 0.0000 0.5000  12 Pm 3.61-3.63

---

A relaxed PmSmTh2 crystal, computed with PBE.

## Properties
As for the offset from the most stable computed form: 0.0462 eV/atom. Its formation enthalpy at 0 K is 0.08 eV per atom. The calculation puts the size of the total moment at 0.0000 μB/atom.

Unit cell a=5.1937 b=5.0362 c=5.0362 alpha=90.00 beta=90.00 gamma=90.00
With the nearest neighbours (Å) after each atom.
Element x y z (fractional)
Sm 0.5000 0.5000 0.5000  4 Pm 3.56, 8 Th 3.62
Th 0.0000 0.0000 0.5000  4 Th 3.56, 4 Sm 3.62, 4 Pm 3.62
Th 0.0000 0.5000 0.0000  4 Th 3.56, 4 Sm 3.62, 4 Pm 3.62
Pm 0.5000 0.0000 0.0000  4 Sm 3.56, 8 Th 3.62

---

A relaxed Pm5Sm4Th2 crystal, computed with PBE.

## Properties
As for the offset from the most stable computed form: 0.1142 eV/atom. Its formation enthalpy at 0 K is 0.25 eV per atom. The calculation puts the size of the total moment at 0.0001 μB/atom.

Unit cell a=3.5274 b=11.6193 c=11.1081 alpha=121.53 beta=99.14 gamma=90.00
With the nearest neighbours (Å) after each atom.
Element x y z (fractional)
Pm 0.8218 0.1132 0.6437  3 Sm 3.33-3.43, 4 Pm 3.34-3.53, 1 Th 3.41
Pm 0.8218 0.5305 0.6437  3 Sm 3.33-3.43, 4 Pm 3.34-3.53, 1 Th 3.41
Pm 0.1782 0.4695 0.3563  3 Sm 3.33-3.43, 4 Pm 3.34-3.53, 1 Th 3.41
Pm 0.1782 0.8868 0.3563  3 Sm 3.33-3.43, 4 Pm 3.34-3.53, 1 Th 3.41
Pm 0.5000 0.0000 0.0000  2 Pm 3.53, 4 Sm 3.55
Sm 0.0000 0.2653 0.0000  4 Pm 3.33-3.55, 6 Sm 3.53-3.64
Sm 0.5883 0.5883 0.1767  7 Sm 3.29-3.64, 4 Pm 3.43
Sm 0.0000 0.7347 0.0000  4 Pm 3.33-3.55, 6 Sm 3.53-3.64
Sm 0.4117 0.4117 0.8233  7 Sm 3.29-3.64, 4 Pm 3.43
Th 0.2002 0.2002 0.4004  6 Pm 3.41-3.76, 2 Th 3.53
Th 0.7998 0.7998 0.5996  6 Pm 3.41-3.76, 2 Th 3.53

---

A relaxed Pm2Sm8Th crystal, computed with PBE.

## Properties
As for the offset from the most stable computed form: 0.1691 eV/atom. Its formation enthalpy at 0 K is 0.20 eV per atom. The calculation puts the size of the total moment at 0.0000 μB/atom.

Unit cell a=5.7193 b=10.3206 c=10.3206 alpha=39.23 beta=94.15 gamma=94.15
With the nearest neighbours (Å) after each atom.
Element x y z (fractional)
Pm 0.7448 0.2815 0.2815  7 Sm 3.31-3.54
Pm 0.2552 0.7185 0.7185  7 Sm 3.31-3.54
Sm 0.2761 0.1336 0.6119  5 Sm 3.31-3.62, 1 Pm 3.50, 1 Th 3.53
Sm 0.2761 0.6119 0.1336  5 Sm 3.31-3.62, 1 Pm 3.50, 1 Th 3.53
Sm 0.7239 0.8664 0.3881  5 Sm 3.31-3.62, 1 Pm 3.50, 1 Th 3.53
Sm 0.2289 0.5479 0.5479  1 Sm 3.09, 1 Pm 3.31
Sm 0.7239 0.3881 0.8664  5 Sm 3.31-3.62, 1 Pm 3.50, 1 Th 3.53
Sm 0.2226 0.1827 0.1827  4 Pm 3.42-3.54, 4 Sm 3.48-3.62, 1 Th 3.68
Sm 0.7774 0.8173 0.8173  4 Pm 3.42-3.54, 4 Sm 3.48-3.62, 1 Th 3.68
Sm 0.7711 0.4521 0.4521  1 Sm 3.09, 1 Pm 3.31
Th 0.0000 0.0000 0.0000  10 Sm 3.53-3.79

---

| no. | volume (Å³ per cell) |
| --- | --- |
| 1 | 901.1 |
| 2 | 490.8 |
| 3 | 201.8 |
| 4 | 372.5 |
| 5 | 271.7 |
| 6 | 131.7 |
| 7 | 381.3 |
| 8 | 384.1 |